[1]
# PBE-GGA ScNbReTc, relaxed
data_ScNbReTc
_chemical_formula_sum 'Sc4 Nb4 Re4 Tc4'
_symmetry_space_group_name_H-M 'F -4 3 m'
_symmetry_Int_Tables_number 216
_symmetry_space_group_name_Hall 'F -4 2 3'
_cell_length_a 6.430
_cell_length_b 6.430
_cell_length_c 6.430
_cell_angle_alpha 90.00
_cell_angle_beta 90.00
_cell_angle_gamma 90.00
loop_
_atom_site_label
_atom_site_fract_x
_atom_site_fract_y
_atom_site_fract_z
_atom_site_occupancy
Sc1 0.000 0.000 0.000 1
Nb1 0.000 0.000 0.500 1
Re1 0.250 0.250 0.250 1
Tc1 0.250 0.250 0.750 1
# **Total DFT energy (no corrections)**: -9.997 eV/atom
# **DOS(E_F)**: 3.9 states/eV/f.u.

=====

[2]
# PBE-GGA ScTiNbRe, relaxed
data_ScTiNbRe
_chemical_formula_sum 'Sc4 Ti4 Nb4 Re4'
_symmetry_space_group_name_H-M 'F -4 3 m'
_symmetry_Int_Tables_number 216
_symmetry_space_group_name_Hall 'F -4 2 3'
_cell_length_a 6.515
_cell_length_b 6.515
_cell_length_c 6.515
_cell_angle_alpha 90.00
_cell_angle_beta 90.00
_cell_angle_gamma 90.00
loop_
_atom_site_label
_atom_site_fract_x
_atom_site_fract_y
_atom_site_fract_z
_atom_site_occupancy
Sc1 0.000 0.000 0.000 1
Ti1 0.250 0.250 0.250 1
Nb1 0.250 0.250 0.750 1
Re1 0.000 0.000 0.500 1
# **Total DFT energy (no corrections)**: -9.263 eV/atom
# **DOS(E_F)**: 5.6 states/eV/f.u.

=====

[3]
# PBE-GGA ScNbReW, relaxed
data_ScNbReW
_chemical_formula_sum 'Sc4 Nb4 Re4 W4'
_symmetry_space_group_name_H-M 'F -4 3 m'
_symmetry_Int_Tables_number 216
_symmetry_space_group_name_Hall 'F -4 2 3'
_cell_length_a 6.473
_cell_length_b 6.473
_cell_length_c 6.473
_cell_angle_alpha 90.00
_cell_angle_beta 90.00
_cell_angle_gamma 90.00
loop_
_atom_site_label
_atom_site_fract_x
_atom_site_fract_y
_atom_site_fract_z
_atom_site_occupancy
Sc1 0.000 0.000 0.000 1
Nb1 0.250 0.250 0.750 1
Re1 0.250 0.250 0.250 1
W1 0.000 0.000 0.500 1
# **Total DFT energy (no corrections)**: -10.436 eV/atom
# **DOS(E_F)**: 4.9 states/eV/f.u.

=====

[4]
# PBE-GGA NbReSe2, relaxed
data_NbReSe2
_chemical_formula_sum 'Nb4 Re4 Se8'
_symmetry_space_group_name_H-M 'I -4 2 d'
_symmetry_Int_Tables_number 122
_symmetry_space_group_name_Hall 'I -4 2bw'
_cell_length_a 5.850
_cell_length_b 5.850
_cell_length_c 10.795
_cell_angle_alpha 90.00
_cell_angle_beta 90.00
_cell_angle_gamma 90.00
loop_
_atom_site_label
_atom_site_fract_x
_atom_site_fract_y
_atom_site_fract_z
_atom_site_occupancy
Nb1 0.000 0.000 0.000 1
Re1 0.000 0.000 0.500 1
Se1 0.229 0.250 0.625 1
# **ΔE to the lowest computed polymorph**: 36.7 kJ/mol of atoms
# **Total DFT energy (no corrections)**: -6.905 eV/atom
# **DOS(E_F)**: 4.7 states/eV/f.u.
# **Raw formation energy**: 0.467 eV per atom

=====

[5]
# PBE-GGA NbRe3Se, relaxed
data_NbRe3Se
_chemical_formula_sum 'Nb1 Re3 Se1'
_symmetry_space_group_name_H-M 'P m -3 m'
_symmetry_Int_Tables_number 221
_symmetry_space_group_name_Hall '-P 4 2 3'
_cell_length_a 4.782
_cell_length_b 4.782
_cell_length_c 4.782
_cell_angle_alpha 90.00
_cell_angle_beta 90.00
_cell_angle_gamma 90.00
loop_
_atom_site_label
_atom_site_fract_x
_atom_site_fract_y
_atom_site_fract_z
_atom_site_occupancy
Nb1 0.000 0.000 0.000 1
Re1 0.000 0.000 0.500 1
Se1 0.500 0.500 0.500 1
# **ΔE to the lowest computed polymorph**: 104.8 kJ/mol of atoms
# **Total DFT energy (no corrections)**: -7.619 eV/atom
# **DOS(E_F)**: 9.7 states/eV/f.u.
# **Raw formation energy**: 2.561 eV per atom

=====

[6]
# PBE-GGA NbRe4Se8, relaxed
data_NbRe4Se8
_chemical_formula_sum 'Nb2 Re8 Se16'
_symmetry_space_group_name_H-M 'C 1 2/m 1'
_symmetry_Int_Tables_number 12
_cell_length_a 11.747
_cell_length_b 6.429
_cell_length_c 8.225
_cell_angle_alpha 90.00
_cell_angle_beta 121.36
_cell_angle_gamma 90.00
loop_
_symmetry_equiv_pos_as_xyz
'x,y,z'
'-x,-y,-z'
'-x,y,-z'
'x,-y,z'
'x+1/2,y+1/2,z'
'-x+1/2,-y+1/2,-z'
'-x+1/2,y+1/2,-z'
'x+1/2,-y+1/2,z'
loop_
_atom_site_label
_atom_site_fract_x
_atom_site_fract_y
_atom_site_fract_z
_atom_site_occupancy
Nb1 0.000 0.000 0.000 1
Re1 0.000 0.000 0.500 1
Re2 0.000 0.500 0.500 1
Re3 0.250 0.250 0.000 1
Se1 0.001 0.249 0.742 1
Se2 0.241 0.500 0.755 1
Se3 0.247 0.000 0.756 1
# **Total DFT energy (no corrections)**: -6.658 eV/atom
# **DOS(E_F)**: 8.3 states/eV/f.u.
# **Raw formation energy**: 0.091 eV per atom

=====

[7]
# PBE-GGA NbRe2Se, relaxed
data_NbRe2Se
_chemical_formula_sum 'Nb4 Re8 Se4'
_symmetry_space_group_name_H-M 'I -4 2 d'
_symmetry_Int_Tables_number 122
_symmetry_space_group_name_Hall 'I -4 2bw'
_cell_length_a 3.694
_cell_length_b 3.694
_cell_length_c 20.283
_cell_angle_alpha 90.00
_cell_angle_beta 90.00
_cell_angle_gamma 90.00
loop_
_atom_site_label
_atom_site_fract_x
_atom_site_fract_y
_atom_site_fract_z
_atom_site_occupancy
Nb1 0.000 0.000 0.000 1
Re1 0.227 0.250 0.625 1
Se1 0.000 0.000 0.500 1
# **Total DFT energy (no corrections)**: -9.029 eV/atom
# **DOS(E_F)**: 2.8 states/eV/f.u.
# **Raw formation energy**: 0.584 eV per atom

=====

[8]
# PBE-GGA NbReSe4, relaxed
data_NbReSe4
_chemical_formula_sum 'Nb2 Re2 Se8'
_symmetry_space_group_name_H-M 'C 1 m 1'
_symmetry_Int_Tables_number 8
_cell_length_a 14.271
_cell_length_b 3.337
_cell_length_c 6.019
_cell_angle_alpha 90.00
_cell_angle_beta 101.77
_cell_angle_gamma 90.00
loop_
_symmetry_equiv_pos_as_xyz
'x,y,z'
'x,-y,z'
'x+1/2,y+1/2,z'
'x+1/2,-y+1/2,z'
loop_
_atom_site_label
_atom_site_fract_x
_atom_site_fract_y
_atom_site_fract_z
_atom_site_occupancy
Nb1 0.000 0.000 0.000 1
Re1 0.012 0.500 0.391 1
Se1 0.109 0.500 0.814 1
Se2 0.139 0.000 0.352 1
Se3 0.370 0.000 0.055 1
Se4 0.407 0.500 0.563 1
# **ΔE to the lowest computed polymorph**: 0.0 kJ/mol of atoms
# **Total DFT energy (no corrections)**: -6.656 eV/atom
# **DOS(E_F)**: 1.5 states/eV/f.u.
# **Raw formation energy**: -0.580 eV per atom

=====

[9]
# PBE-GGA NbReSe4, relaxed
data_NbReSe4
_chemical_formula_sum 'Nb4 Re4 Se16'
_symmetry_space_group_name_H-M 'C 1 2/c 1'
_symmetry_Int_Tables_number 15
_cell_length_a 6.708
_cell_length_b 17.436
_cell_length_c 6.025
_cell_angle_alpha 90.00
_cell_angle_beta 123.58
_cell_angle_gamma 90.00
loop_
_symmetry_equiv_pos_as_xyz
'x,y,z'
'-x,-y,-z'
'-x,y,-z+1/2'
'x,-y,z+1/2'
'x+1/2,y+1/2,z'
'-x+1/2,-y+1/2,-z'
'-x+1/2,y+1/2,-z+1/2'
'x+1/2,-y+1/2,z+1/2'
loop_
_atom_site_label
_atom_site_fract_x
_atom_site_fract_y
_atom_site_fract_z
_atom_site_occupancy
Nb1 0.000 0.083 0.250 1
Re1 0.000 0.424 0.750 1
Se1 0.238 0.460 0.238 1
Se2 0.244 0.182 0.224 1
# **ΔE to the lowest computed polymorph**: 31.8 kJ/mol of atoms
# **Total DFT energy (no corrections)**: -6.327 eV/atom
# **DOS(E_F)**: 3.4 states/eV/f.u.
# **Raw formation energy**: -0.251 eV per atom

=====

[10]
# PBE-GGA NbReSe2, relaxed
data_NbReSe2
_chemical_formula_sum 'Nb3 Re3 Se6'
_symmetry_space_group_name_H-M 'R -3 m'
_symmetry_Int_Tables_number 166
_symmetry_space_group_name_Hall '-R 3 2"'
_cell_length_a 3.1290
_cell_length_b 3.1290
_cell_length_c 25.7620
_cell_angle_alpha 90.00
_cell_angle_beta 90.00
_cell_angle_gamma 120.00
loop_
_atom_site_label
_atom_site_fract_x
_atom_site_fract_y
_atom_site_fract_z
_atom_site_occupancy
Nb1 0.0000 0.0000 0.0000 1
Re1 0.0000 0.0000 0.5000 1
Se1 0.0000 0.0000 0.4064 1
# **ΔE to the lowest computed polymorph**: 0.0 kJ/mol of atoms
# **Total DFT energy (no corrections)**: -7.285 eV/atom
# **DOS(E_F)**: 2.7 states/eV/f.u.
# **Raw formation energy**: 0.087 eV per atom

=====

[11]
# PBE-GGA NbRe3Se, relaxed
data_NbRe3Se
_chemical_formula_sum 'Nb1 Re3 Se1'
_symmetry_space_group_name_H-M 'P m -3 m'
_symmetry_Int_Tables_number 221
_symmetry_space_group_name_Hall '-P 4 2 3'
_cell_length_a 4.505
_cell_length_b 4.505
_cell_length_c 4.505
_cell_angle_alpha 90.00
_cell_angle_beta 90.00
_cell_angle_gamma 90.00
loop_
_atom_site_label
_atom_site_fract_x
_atom_site_fract_y
_atom_site_fract_z
_atom_site_occupancy
Nb1 0.000 0.000 0.000 1
Re1 0.000 0.500 0.500 1
Se1 0.500 0.500 0.500 1
# **ΔE to the lowest computed polymorph**: 0.0 kJ/mol of atoms
# **Total DFT energy (no corrections)**: -8.705 eV/atom
# **DOS(E_F)**: 6.1 states/eV/f.u.
# **Raw formation energy**: 1.475 eV per atom

=====

[12]
# PBE-GGA NbReSe, relaxed
data_NbReSe
_chemical_formula_sum 'Nb4 Re4 Se4'
_symmetry_space_group_name_H-M 'A m m 2'
_symmetry_Int_Tables_number 38
_cell_length_a 12.154
_cell_length_b 3.178
_cell_length_c 5.288
_cell_angle_alpha 90.00
_cell_angle_beta 90.00
_cell_angle_gamma 90.00
loop_
_symmetry_equiv_pos_as_xyz
'x,y,z'
'-x,-y,z'
'-x,y,z'
'x,-y,z'
'x,y+1/2,z+1/2'
'-x,-y+1/2,z+1/2'
'-x,y+1/2,z+1/2'
'x,-y+1/2,z+1/2'
loop_
_atom_site_label
_atom_site_fract_x
_atom_site_fract_y
_atom_site_fract_z
_atom_site_occupancy
Nb1 0.175 0.000 0.000 1
Re1 0.000 0.000 0.511 1
Re2 0.500 0.000 0.877 1
Se1 0.336 0.000 0.312 1
# **Total DFT energy (no corrections)**: -8.429 eV/atom
# **DOS(E_F)**: 2.0 states/eV/f.u.
# **Raw formation energy**: 0.238 eV per atom

=====

[13]
# PBE-GGA NbReSe2, relaxed
data_NbReSe2
_chemical_formula_sum 'Nb4 Re4 Se8'
_symmetry_space_group_name_H-M 'F m -3 m'
_symmetry_Int_Tables_number 225
_symmetry_space_group_name_Hall '-F 4 2 3'
_cell_length_a 6.353
_cell_length_b 6.353
_cell_length_c 6.353
_cell_angle_alpha 90.00
_cell_angle_beta 90.00
_cell_angle_gamma 90.00
loop_
_atom_site_label
_atom_site_fract_x
_atom_site_fract_y
_atom_site_fract_z
_atom_site_occupancy
Nb1 0.000 0.000 0.000 1
Re1 0.000 0.000 0.500 1
Se1 0.250 0.250 0.250 1
# **ΔE to the lowest computed polymorph**: 7.2 kJ/mol of atoms
# **Total DFT energy (no corrections)**: -7.210 eV/atom
# **DOS(E_F)**: 3.5 states/eV/f.u.
# **Raw formation energy**: 0.161 eV per atom

=====

[14]
# PBE-GGA NbRe2TcSe, relaxed
data_NbRe2TcSe
_chemical_formula_sum 'Nb1 Re2 Tc1 Se1'
_symmetry_space_group_name_H-M 'P 4/m m m'
_symmetry_Int_Tables_number 123
_symmetry_space_group_name_Hall '-P 4 2'
_cell_length_a 4.697
_cell_length_b 4.697
_cell_length_c 4.805
_cell_angle_alpha 90.00
_cell_angle_beta 90.00
_cell_angle_gamma 90.00
loop_
_atom_site_label
_atom_site_fract_x
_atom_site_fract_y
_atom_site_fract_z
_atom_site_occupancy
Nb1 0.000 0.000 0.000 1
Re1 0.000 0.500 0.500 1
Tc1 0.000 0.000 0.500 1
Se1 0.500 0.500 0.000 1
# **Total DFT energy (no corrections)**: -7.960 eV/atom
# **DOS(E_F)**: 5.5 states/eV/f.u.
# **Raw formation energy**: 1.804 eV per atom

=====

[15]
# PBE-GGA NbTlRe2Se, relaxed
data_NbTlRe2Se
_chemical_formula_sum 'Nb1 Tl1 Re2 Se1'
_symmetry_space_group_name_H-M 'P 4/m m m'
_symmetry_Int_Tables_number 123
_symmetry_space_group_name_Hall '-P 4 2'
_cell_length_a 4.607
_cell_length_b 4.607
_cell_length_c 4.751
_cell_angle_alpha 90.00
_cell_angle_beta 90.00
_cell_angle_gamma 90.00
loop_
_atom_site_label
_atom_site_fract_x
_atom_site_fract_y
_atom_site_fract_z
_atom_site_occupancy
Nb1 0.000 0.000 0.000 1
Tl1 0.500 0.500 0.000 1
Re1 0.000 0.500 0.500 1
Se1 0.000 0.000 0.500 1
# **Total DFT energy (no corrections)**: -6.850 eV/atom
# **DOS(E_F)**: 4.8 states/eV/f.u.
# **Raw formation energy**: 1.313 eV per atom

=====

[16]
# PBE-GGA NbRe2WSe, relaxed
data_NbRe2WSe
_chemical_formula_sum 'Nb1 Re2 W1 Se1'
_symmetry_space_group_name_H-M 'P 4/m m m'
_symmetry_Int_Tables_number 123
_symmetry_space_group_name_Hall '-P 4 2'
_cell_length_a 4.737
_cell_length_b 4.737
_cell_length_c 4.700
_cell_angle_alpha 90.00
_cell_angle_beta 90.00
_cell_angle_gamma 90.00
loop_
_atom_site_label
_atom_site_fract_x
_atom_site_fract_y
_atom_site_fract_z
_atom_site_occupancy
Nb1 0.000 0.000 0.000 1
Re1 0.000 0.500 0.000 1
W1 0.500 0.500 0.500 1
Se1 0.000 0.000 0.500 1
# **Total DFT energy (no corrections)**: -7.891 eV/atom
# **DOS(E_F)**: 8.7 states/eV/f.u.
# **Raw formation energy**: 2.390 eV per atom

=====

[17]
# PBE-GGA NbRe2Si4, relaxed
data_NbRe2Si4
_chemical_formula_sum 'Nb2 Re4 Si8'
_symmetry_space_group_name_H-M 'I 4/m m m'
_symmetry_Int_Tables_number 139
_symmetry_space_group_name_Hall '-I 4 2'
_cell_length_a 4.630
_cell_length_b 4.630
_cell_length_c 12.335
_cell_angle_alpha 90.00
_cell_angle_beta 90.00
_cell_angle_gamma 90.00
loop_
_atom_site_label
_atom_site_fract_x
_atom_site_fract_y
_atom_site_fract_z
_atom_site_occupancy
Nb1 0.000 0.000 0.000 1
Re1 0.000 0.000 0.399 1
Si1 0.000 0.000 0.207 1
Si2 0.000 0.500 0.000 1
# **Total DFT energy (no corrections)**: -7.235 eV/atom
# **DOS(E_F)**: 6.4 states/eV/f.u.
# **Raw formation energy**: 0.859 eV per atom

=====

[18]
# PBE-GGA ZrNbRe2Si, relaxed
data_ZrNbRe2Si
_chemical_formula_sum 'Zr1 Nb1 Re2 Si1'
_symmetry_space_group_name_H-M 'P 4/m m m'
_symmetry_Int_Tables_number 123
_symmetry_space_group_name_Hall '-P 4 2'
_cell_length_a 4.748
_cell_length_b 4.748
_cell_length_c 4.717
_cell_angle_alpha 90.00
_cell_angle_beta 90.00
_cell_angle_gamma 90.00
loop_
_atom_site_label
_atom_site_fract_x
_atom_site_fract_y
_atom_site_fract_z
_atom_site_occupancy
Zr1 0.000 0.000 0.000 1
Nb1 0.500 0.500 0.500 1
Re1 0.000 0.500 0.000 1
Si1 0.000 0.000 0.500 1
# **ΔE to the lowest computed polymorph**: 129.4 kJ/mol of atoms
# **Total DFT energy (no corrections)**: -7.683 eV/atom
# **DOS(E_F)**: 6.9 states/eV/f.u.
# **Raw formation energy**: 2.105 eV per atom

=====

[19]
# PBE-GGA ZrNbRe2Si, relaxed
data_ZrNbRe2Si
_chemical_formula_sum 'Zr1 Nb1 Re2 Si1'
_symmetry_space_group_name_H-M 'P 4/m m m'
_symmetry_Int_Tables_number 123
_symmetry_space_group_name_Hall '-P 4 2'
_cell_length_a 4.441
_cell_length_b 4.441
_cell_length_c 4.763
_cell_angle_alpha 90.00
_cell_angle_beta 90.00
_cell_angle_gamma 90.00
loop_
_atom_site_label
_atom_site_fract_x
_atom_site_fract_y
_atom_site_fract_z
_atom_site_occupancy
Zr1 0.000 0.000 0.000 1
Nb1 0.500 0.500 0.000 1
Re1 0.000 0.500 0.500 1
Si1 0.000 0.000 0.500 1
# **ΔE to the lowest computed polymorph**: 0.0 kJ/mol of atoms
# **Total DFT energy (no corrections)**: -9.024 eV/atom
# **DOS(E_F)**: 8.6 states/eV/f.u.
# **Raw formation energy**: 0.764 eV per atom

=====

[20]
# PBE-GGA SmNbRe, relaxed
data_SmNbRe
_chemical_formula_sum 'Sm16 Nb16 Re16'
_symmetry_space_group_name_H-M 'F d d d'
_symmetry_Int_Tables_number 70
_cell_length_a 5.101
_cell_length_b 9.788
_cell_length_c 20.941
_cell_angle_alpha 90.00
_cell_angle_beta 90.00
_cell_angle_gamma 90.00
loop_
_symmetry_equiv_pos_as_xyz
'x,y,z'
'-x,-y,-z'
'-x+1/4,-y+1/4,z'
'x+1/4,y+1/4,-z'
'x,-y+1/4,-z+1/4'
'-x,y+1/4,z+1/4'
'-x+1/4,y,-z+1/4'
'x+1/4,-y,z+1/4'
'x,y+1/2,z+1/2'
'-x,-y+1/2,-z+1/2'
'-x+1/4,-y+3/4,z+1/2'
'x+1/4,y+3/4,-z+1/2'
'x,-y+3/4,-z+3/4'
'-x,y+3/4,z+3/4'
'-x+1/4,y+1/2,-z+3/4'
'x+1/4,-y+1/2,z+3/4'
'x+1/2,y,z+1/2'
'-x+1/2,-y,-z+1/2'
'-x+3/4,-y+1/4,z+1/2'
'x+3/4,y+1/4,-z+1/2'
'x+1/2,-y+1/4,-z+3/4'
'-x+1/2,y+1/4,z+3/4'
'-x+3/4,y,-z+3/4'
'x+3/4,-y,z+3/4'
'x+1/2,y+1/2,z'
'-x+1/2,-y+1/2,-z'
'-x+3/4,-y+3/4,z'
'x+3/4,y+3/4,-z'
'x+1/2,-y+3/4,-z+1/4'
'-x+1/2,y+3/4,z+1/4'
'-x+3/4,y+1/2,-z+1/4'
'x+3/4,-y+1/2,z+1/4'
loop_
_atom_site_label
_atom_site_fract_x
_atom_site_fract_y
_atom_site_fract_z
_atom_site_occupancy
Sm1 0.125 0.287 0.125 1
Nb1 0.125 0.125 0.537 1
Re1 0.125 0.125 0.001 1
# **Total DFT energy (no corrections)**: -8.863 eV/atom
# **DOS(E_F)**: 2.4 states/eV/f.u.